Record 1
Material: SrNdNbN3
Method: DFT, PBE-GGA
State: optimized geometry

Computed properties:
Uncorrected formation energy: -0.9908 eV/atom

abc: 3.9665 7.2270 7.3288
angles: 103.98 90.00 105.93
Closest atoms and distances in Å follow each position.
Element x y z (fractional)
Nb: 0.9998 0.9996 0.7726  4 N 2.02-2.17
Nb: 0.0002 0.0004 0.2274  4 N 2.02-2.17
N: 0.5041 0.0082 0.2877  2 Nb 2.03
N: 0.1488 0.2975 0.8108  1 Nb 2.02
N: 0.1596 0.3192 0.3451  1 Nb 2.17
N: 0.4959 0.9918 0.7123  2 Nb 2.03
N: 0.8512 0.7025 0.1892  1 Nb 2.02
N: 0.8404 0.6808 0.6549  1 Nb 2.17
Sr: 0.6619 0.3237 0.0851  5 N 2.55-2.80
Sr: 0.3381 0.6763 0.9149  5 N 2.55-2.80
Nd: 0.6502 0.3004 0.5690  7 N 2.50-2.66
Nd: 0.3498 0.6996 0.4310  7 N 2.50-2.66


Record 2
Material: Ca3TaGe
Method: DFT, PBE-GGA
State: optimized geometry

Computed properties:
E above lowest polymorph: 0.00 eV/f.u.
Formation enthalpy at 0 K: 0.751 eV per atom

abc: 5.6035 5.6035 5.6035
angles: 90.00 90.00 90.00
Closest atoms and distances in Å follow each position.
Element x y z (fractional)
Ge: 0.0000 0.0000 0.0000  6 Ca 2.80
Ca: 0.5000 0.0000 0.0000  2 Ge 2.80
Ca: 0.0000 0.0000 0.5000  2 Ge 2.80
Ca: 0.0000 0.5000 0.0000  2 Ge 2.80
Ta: 0.5000 0.5000 0.5000  12 Ca 3.96


Record 3
Material: NbIr4
Method: DFT, PBE-GGA
State: optimized geometry

Computed properties:
E above lowest polymorph: 0.00 eV/f.u.
Formation enthalpy at 0 K: -0.346 eV per atom

abc: 4.1288 5.5162 7.5538
angles: 111.42 105.86 90.00
Closest atoms and distances in Å follow each position.
Element x y z (fractional)
Ir: 0.8992 0.6492 0.7985  3 Nb 2.76-2.82, 10 Ir 2.76-3.05
Ir: 0.6948 0.6861 0.3895  6 Ir 2.54-2.76, 2 Nb 2.76
Ir: 0.5000 0.5000 0.0000  8 Ir 2.62-2.83, 4 Nb 2.88
Ir: 0.5000 0.0000 0.0000  8 Ir 2.62-2.83, 4 Nb 2.88
Ir: 0.1008 0.3508 0.2015  3 Nb 2.76-2.82, 10 Ir 2.76-3.05
Ir: 0.3052 0.3139 0.6105  6 Ir 2.54-2.76, 2 Nb 2.76
Ir: 0.6948 0.2034 0.3895  6 Ir 2.54-2.76, 2 Nb 2.76
Ir: 0.3052 0.7966 0.6105  6 Ir 2.54-2.76, 2 Nb 2.76
Nb: 0.8913 0.1413 0.7825  13 Ir 2.76-3.00
Nb: 0.1087 0.8587 0.2175  13 Ir 2.76-3.00


Record 4
Material: KRe
Method: DFT, PBE-GGA
State: optimized geometry

Computed properties:
E above lowest polymorph: 0.74 eV/f.u.
Formation enthalpy at 0 K: 1.202 eV per atom

abc: 6.7264 6.7264 6.7264
angles: 149.20 126.36 63.13
Closest atoms and distances in Å follow each position.
Element x y z (fractional)
K: 0.6423 0.3923 0.7500  6 K 3.57-3.91, 8 Re 3.64-3.84
K: 0.3577 0.6077 0.2500  6 K 3.57-3.91, 8 Re 3.64-3.84
Re: 0.9365 0.1865 0.2500  2 Re 2.30
Re: 0.0635 0.8135 0.7500  2 Re 2.30


Record 5
Material: NdTm4Pd4
Method: DFT, PBE-GGA
State: optimized geometry

Computed properties:
Formation enthalpy at 0 K: -0.687 eV per atom

abc: 5.6830 9.0505 9.0505
angles: 90.00 90.00 90.00
Closest atoms and distances in Å follow each position.
Element x y z (fractional)
Pd: 0.0876 0.8693 0.7090  5 Tm 2.80-2.89, 1 Nd 2.93, 1 Pd 2.94
Pd: 0.0876 0.1307 0.2910  5 Tm 2.80-2.89, 1 Nd 2.93, 1 Pd 2.94
Pd: 0.5876 0.7910 0.3693  5 Tm 2.80-2.89, 1 Nd 2.93, 1 Pd 2.94
Pd: 0.4124 0.6307 0.7910  5 Tm 2.80-2.89, 1 Nd 2.93, 1 Pd 2.94
Pd: 0.9124 0.7090 0.1307  5 Tm 2.80-2.89, 1 Nd 2.93, 1 Pd 2.94
Pd: 0.5876 0.2090 0.6307  5 Tm 2.80-2.89, 1 Nd 2.93, 1 Pd 2.94
Pd: 0.9124 0.2910 0.8693  5 Tm 2.80-2.89, 1 Nd 2.93, 1 Pd 2.94
Pd: 0.4124 0.3693 0.2090  5 Tm 2.80-2.89, 1 Nd 2.93, 1 Pd 2.94
Tm: 0.5869 0.9019 0.6688  5 Pd 2.80-2.89
Tm: 0.4131 0.3312 0.9019  5 Pd 2.80-2.89
Tm: 0.0869 0.1688 0.5981  5 Pd 2.80-2.89
Tm: 0.4131 0.6688 0.0981  5 Pd 2.80-2.89
Tm: 0.0869 0.8312 0.4019  5 Pd 2.80-2.89
Tm: 0.5869 0.0981 0.3312  5 Pd 2.80-2.89
Tm: 0.9131 0.5981 0.8312  5 Pd 2.80-2.89
Tm: 0.9131 0.4019 0.1688  5 Pd 2.80-2.89
Nd: 0.0000 0.0000 0.0000  4 Pd 2.93
Nd: 0.5000 0.5000 0.5000  4 Pd 2.93


Record 6
Material: Ho2HgCl
Method: DFT, PBE-GGA
State: optimized geometry

Computed properties:
Uncorrected formation energy: -0.4670 eV/atom

abc: 3.4539 3.4539 10.7813
angles: 80.78 80.78 60.00
Closest atoms and distances in Å follow each position.
Element x y z (fractional)
Ho: 0.9035 0.9035 0.2895  3 Cl 2.99, 1 Hg 3.07
Ho: 0.0965 0.0965 0.7105  3 Cl 2.99, 1 Hg 3.07
Hg: 0.0000 0.0000 0.0000  2 Ho 3.07
Cl: 0.5000 0.5000 0.5000  6 Ho 2.99


Record 7
Material: Ba8LiTa7O24
Method: DFT, PBE-GGA
State: optimized geometry

Computed properties:
Uncorrected formation energy: -2.8827 eV/atom

abc: 5.8962 5.8962 19.1656
angles: 90.00 90.00 120.00
Closest atoms and distances in Å follow each position.
Element x y z (fractional)
Ba: 0.3333 0.6667 0.8549  9 O 2.81-3.00
Ba: 0.0000 0.0000 0.9954  12 O 2.79-3.02, 1 Li 3.11
Ba: 0.6667 0.3333 0.3641  12 O 2.81-3.08
Ba: 0.3333 0.6667 0.2498  12 O 2.92-2.96
Ba: 0.0000 0.0000 0.5008  12 O 2.85-2.95
Ba: 0.6667 0.3333 0.7525  12 O 2.96-3.06
Ba: 0.6667 0.3333 0.1333  12 O 2.85-2.98
Ba: 0.3333 0.6667 0.6325  9 O 2.76-2.96
Li: 0.0000 0.0000 0.8330  3 O 2.02
Ta: 0.6667 0.3333 0.5589  6 O 2.04-2.05
Ta: 0.0000 0.0000 0.3188  6 O 2.05-2.10
Ta: 0.3333 0.6667 0.0613  6 O 2.01-2.07
Ta: 0.6667 0.3333 0.9362  3 O 1.92
Ta: 0.0000 0.0000 0.1826  6 O 2.05-2.09
Ta: 0.0000 0.0000 0.6885  3 O 1.91
Ta: 0.3333 0.6667 0.4386  6 O 2.05-2.06
O: 0.6612 0.8306 0.1248  2 Ta 2.05-2.07
O: 0.1694 0.8306 0.1248  2 Ta 2.05-2.07
O: 0.1581 0.8419 0.7419  1 Ta 1.91
O: 0.3367 0.1684 0.6192  2 Ta 2.04-2.17
O: 0.1694 0.3388 0.1248  2 Ta 2.05-2.07
O: 0.0007 0.5003 0.0056  2 Ta 2.01-2.16
O: 0.9979 0.4990 0.4981  2 Ta 2.05-2.06
O: 0.1687 0.3374 0.3770  2 Ta 2.05
O: 0.5010 0.0021 0.4981  2 Ta 2.05-2.06
O: 0.8316 0.1684 0.6192  2 Ta 2.04-2.17
O: 0.3207 0.1603 0.2501  2 Ta 2.09-2.10
O: 0.8397 0.6793 0.2501  2 Ta 2.09-2.10
O: 0.6626 0.8313 0.3770  2 Ta 2.05
O: 0.4997 0.9993 0.0056  2 Ta 2.01-2.16
O: 0.5010 0.4990 0.4981  2 Ta 2.05-2.06
O: 0.1687 0.8313 0.3770  2 Ta 2.05
O: 0.8256 0.6512 0.8830  1 Ta 1.92, 1 Li 2.02
O: 0.1581 0.3162 0.7419  1 Ta 1.91
O: 0.3488 0.1744 0.8830  1 Ta 1.92, 1 Li 2.02
O: 0.6838 0.8419 0.7419  1 Ta 1.91
O: 0.8256 0.1744 0.8830  1 Ta 1.92, 1 Li 2.02
O: 0.4997 0.5003 0.0056  2 Ta 2.01-2.16
O: 0.8316 0.6633 0.6192  2 Ta 2.04-2.17
O: 0.8397 0.1603 0.2501  2 Ta 2.09-2.10


Record 8
Material: CsTl6Pt
Method: DFT, PBE-GGA
State: optimized geometry

Computed properties:
Formation enthalpy at 0 K: -0.055 eV per atom

abc: 5.0303 5.0303 10.3594
angles: 90.00 90.00 90.00
Closest atoms and distances in Å follow each position.
Element x y z (fractional)
Tl: 0.0000 0.5000 0.6530  2 Pt 2.97, 3 Tl 3.17-3.21
Tl: 0.5000 0.5000 0.1540  5 Tl 3.19-3.21
Tl: 0.5000 0.0000 0.6530  2 Pt 2.97, 3 Tl 3.17-3.21
Tl: 0.5000 0.5000 0.8460  5 Tl 3.19-3.21
Tl: 0.0000 0.5000 0.3470  2 Pt 2.97, 3 Tl 3.17-3.21
Tl: 0.5000 0.0000 0.3470  2 Pt 2.97, 3 Tl 3.17-3.21
Pt: 0.0000 0.0000 0.5000  8 Tl 2.97
Cs: 0.0000 0.0000 0.0000  8 Tl 3.90